1.
# RePdW | OQMD | GGA-PBE | optimized geometry
# E above lowest polymorph (eV per atom): 0.000
# Energy of formation (meV/atom): 739
data_RePdW
_space_group_name_H-M_alt 'P 1'
_space_group_IT_number 1
_cell_length_a 6.022
_cell_length_b 6.022
_cell_length_c 6.022
_cell_angle_alpha 90.00
_cell_angle_beta 90.00
_cell_angle_gamma 90.00
loop_
_space_group_symop_operation_xyz
'x,y,z'
loop_
_atom_site_label
_atom_site_fract_x
_atom_site_fract_y
_atom_site_fract_z
Re1 0.000 0.000 0.000
Re2 0.000 0.500 0.500
Re3 0.500 0.000 0.500
Re4 0.500 0.500 0.000
Pd1 0.000 0.000 0.500
Pd2 0.000 0.500 0.000
Pd3 0.500 0.000 0.000
Pd4 0.500 0.500 0.500
W1 0.250 0.250 0.750
W2 0.250 0.750 0.250
W3 0.750 0.250 0.250
W4 0.750 0.750 0.750

---

2.
# GdBiNO | OQMD | GGA-PBE | optimized geometry
# E above lowest polymorph (eV per atom): 0.261
data_GdBiNO
_space_group_name_H-M_alt 'P 1'
_space_group_IT_number 1
_cell_length_a 5.084
_cell_length_b 5.084
_cell_length_c 5.002
_cell_angle_alpha 90.00
_cell_angle_beta 90.00
_cell_angle_gamma 90.00
loop_
_space_group_symop_operation_xyz
'x,y,z'
loop_
_atom_site_label
_atom_site_fract_x
_atom_site_fract_y
_atom_site_fract_z
Gd1 0.250 0.750 0.000
Gd2 0.750 0.250 0.000
Bi1 0.250 0.250 0.493
Bi2 0.750 0.750 0.507
N1 0.250 0.250 0.032
N2 0.750 0.750 0.968
O1 0.250 0.750 0.500
O2 0.750 0.250 0.500

---

3.
# LiZrHg3S4 | OQMD | GGA-PBE | optimized geometry
# E above lowest polymorph (eV per atom): 0.000
data_LiZrHg3S4
_space_group_name_H-M_alt 'P 1'
_space_group_IT_number 1
_cell_length_a 7.127
_cell_length_b 7.601
_cell_length_c 10.083
_cell_angle_alpha 90.00
_cell_angle_beta 107.56
_cell_angle_gamma 90.00
loop_
_space_group_symop_operation_xyz
'x,y,z'
loop_
_atom_site_label
_atom_site_fract_x
_atom_site_fract_y
_atom_site_fract_z
Li1 0.016 0.250 0.049
Li2 0.984 0.750 0.951
Zr1 0.276 0.750 0.255
Zr2 0.724 0.250 0.745
Hg1 0.191 0.040 0.488
Hg2 0.191 0.460 0.488
Hg3 0.212 0.250 0.735
Hg4 0.788 0.750 0.265
Hg5 0.809 0.540 0.512
Hg6 0.809 0.960 0.512
S1 0.041 0.511 0.190
S2 0.041 0.989 0.190
S3 0.425 0.750 0.511
S4 0.456 0.750 0.089
S5 0.544 0.250 0.911
S6 0.575 0.250 0.489
S7 0.959 0.011 0.810
S8 0.959 0.489 0.810

---

Repeat the second record exactly.
# GdBiNO | OQMD | GGA-PBE | optimized geometry
# E above lowest polymorph (eV per atom): 0.261
data_GdBiNO
_space_group_name_H-M_alt 'P 1'
_space_group_IT_number 1
_cell_length_a 5.084
_cell_length_b 5.084
_cell_length_c 5.002
_cell_angle_alpha 90.00
_cell_angle_beta 90.00
_cell_angle_gamma 90.00
loop_
_space_group_symop_operation_xyz
'x,y,z'
loop_
_atom_site_label
_atom_site_fract_x
_atom_site_fract_y
_atom_site_fract_z
Gd1 0.250 0.750 0.000
Gd2 0.750 0.250 0.000
Bi1 0.250 0.250 0.493
Bi2 0.750 0.750 0.507
N1 0.250 0.250 0.032
N2 0.750 0.750 0.968
O1 0.250 0.750 0.500
O2 0.750 0.250 0.500

---

> Which of these has the highest E above lowest polymorph?

GdBiNO